<1>
MnTePt | PBE | optimized geometry

## Properties
- D(E_F): 1.5 states/eV/cell
- Magnetic moment: 3.43 μB/f.u.

POSCAR file:
```
MnTePt
1.0
-2.254 3.199 -0.036
-0.576 -2.769 2.704
2.915 2.085 2.757
Te Mn Pt
1 1 1
direct
0.667 0.333 0.664 Te
0.000 0.000 0.032 Mn
0.333 0.667 0.304 Pt
```

***

<2>
MnTePt | PBE | optimized geometry

## Properties
- D(E_F): 2.3 states/eV/cell
- Magnetic moment: 3.91 μB/f.u.

POSCAR file:
```
MnTePt
1.0
4.884 -0.110 0.131
3.593 3.313 0.077
1.292 0.542 3.380
Mn Pt Te
1 1 1
direct
0.996 0.996 0.004 Mn
0.340 0.340 0.660 Pt
0.664 0.664 0.336 Te
```

***

Which of them is most stable, and which least? Most stable: <1>; least stable: <2>.

***

<1>
Mn2TlPt | PBE | optimized geometry

## Properties
- D(E_F): 4.2 states/eV/cell
- Magnetic moment: 8.21 μB/f.u.

POSCAR file:
```
Mn2TlPt
1.0
8.817 -0.149 -0.087
8.317 2.933 -0.087
8.317 1.351 2.604
Mn Pt Tl
2 1 1
direct
0.508 0.508 0.508 Mn
0.992 0.992 0.992 Mn
0.250 0.250 0.250 Pt
0.750 0.750 0.750 Tl
```

***

<2>
Mn2TlPt | PBE | optimized geometry

## Properties
- D(E_F): 7.4 states/eV/cell
- Magnetic moment: 0.00 μB/f.u.

POSCAR file:
```
Mn2TlPt
1.0
-3.671 0.242 2.384
-2.086 3.832 0.431
-3.861 0.629 -1.979
Mn Pt Tl
2 1 1
direct
0.750 0.750 0.750 Mn
0.250 0.250 0.250 Mn
0.000 0.000 0.000 Pt
0.500 0.500 0.500 Tl
```

***

<3>
Mn2TlPt | PBE | optimized geometry

## Properties
- D(E_F): 2.4 states/eV/cell
- Magnetic moment: 7.61 μB/f.u.

POSCAR file:
```
Mn2TlPt
1.0
4.829 0.010 -0.018
1.193 4.679 0.015
-3.001 -2.358 2.986
Pt Mn Tl
1 2 1
direct
0.750 0.250 0.500 Pt
0.000 0.000 0.000 Mn
0.500 0.500 0.000 Mn
0.250 0.750 0.500 Tl
```

***

Which of them is most stable, and which least? Most stable: <3>; least stable: <2>.

***

<1>
Mn2TlPt | PBE | optimized geometry

## Properties
- D(E_F): 2.2 states/eV/cell
- Magnetic moment: 7.90 μB/f.u.

POSCAR file:
```
Mn2TlPt
1.0
-2.844 -2.085 2.913
-3.170 -3.293 0.163
3.193 -4.302 1.511
Mn Pt Tl
2 1 1
direct
0.493 0.493 0.532 Mn
0.007 0.007 0.968 Mn
0.750 0.750 0.750 Pt
0.250 0.250 0.250 Tl
```

***

<2>
Mn2TlPt | PBE | optimized geometry

## Properties
- D(E_F): 6.2 states/eV/cell
- Magnetic moment: 7.81 μB/f.u.

POSCAR file:
```
Mn2TlPt
1.0
-7.324 -0.913 0.180
-0.045 -1.082 -7.303
-3.331 -3.753 -3.156
Tl Pt Mn
2 2 4
direct
0.000 0.000 0.000 Tl
0.750 0.250 0.500 Tl
0.500 0.500 0.000 Pt
0.250 0.750 0.500 Pt
0.592 0.125 0.250 Mn
0.875 0.842 0.750 Mn
0.158 0.625 0.250 Mn
0.375 0.408 0.750 Mn
```

***

Which of them is most stable, and which least? Most stable: <1>; least stable: <2>.

***

<1>
MnTlPt | PBE | optimized geometry

## Properties
- D(E_F): 1.9 states/eV/cell
- Magnetic moment: 4.09 μB/f.u.

POSCAR file:
```
MnTlPt
1.0
-3.563 2.752 0.902
0.194 -4.191 1.865
1.462 1.119 2.361
Pt Mn Tl
1 1 1
direct
0.667 0.333 0.354 Pt
0.000 0.000 0.027 Mn
0.333 0.667 0.620 Tl
```

***

<2>
MnTlPt | PBE | optimized geometry

## Properties
- D(E_F): 1.4 states/eV/cell
- Magnetic moment: 4.17 μB/f.u.

POSCAR file:
```
MnTlPt
1.0
-1.694 -2.242 -1.467
3.093 0.310 -0.620
1.384 -4.195 4.813
Tl Pt Mn
1 1 1
direct
0.333 0.667 0.666 Tl
0.667 0.333 0.307 Pt
0.000 0.000 0.026 Mn
```

***

<3>
MnTlPt | PBE | optimized geometry

## Properties
- D(E_F): 2.6 states/eV/cell
- Magnetic moment: 4.15 μB/f.u.

POSCAR file:
```
MnTlPt
1.0
4.495 0.000 0.000
2.247 3.893 0.000
2.247 1.298 3.670
Tl Mn Pt
1 1 1
direct
0.000 0.000 0.000 Tl
0.500 0.500 0.500 Mn
0.750 0.750 0.750 Pt
```

***

Which of them is most stable, and which least? Most stable: <3>; least stable: <2>.

***

<1>
Mn2V2Pt | PBE | optimized geometry

## Properties
- D(E_F): 4.3 states/eV/cell
- Magnetic moment: 0.00 μB/f.u.

POSCAR file:
```
Mn2V2Pt
1.0
3.786 0.000 0.000
0.000 3.786 0.000
1.893 1.893 4.782
V Mn Pt
2 2 1
direct
0.750 0.250 0.500 V
0.250 0.750 0.500 V
0.391 0.391 0.219 Mn
0.609 0.609 0.781 Mn
0.000 0.000 0.000 Pt
```

***

<2>
Mn2V2Pt | PBE | optimized geometry

## Properties
- D(E_F): 8.4 states/eV/cell
- Magnetic moment: 0.01 μB/f.u.

POSCAR file:
```
Mn2V2Pt
1.0
6.722 0.000 0.000
0.000 6.722 0.000
0.000 0.000 2.858
V Mn Pt
4 4 2
direct
0.697 0.803 0.500 V
0.803 0.303 0.500 V
0.303 0.197 0.500 V
0.197 0.697 0.500 V
0.611 0.111 0.000 Mn
0.889 0.611 0.000 Mn
0.111 0.389 0.000 Mn
0.389 0.889 0.000 Mn
0.500 0.500 0.000 Pt
0.000 0.000 0.000 Pt
```

***

Which of them is most stable, and which least? Most stable: <2>; least stable: <1>.

***

<1>
Mn2PtW | PBE | optimized geometry

## Properties
- D(E_F): 3.7 states/eV/cell
- Magnetic moment: 0.24 μB/f.u.

POSCAR file:
```
Mn2PtW
1.0
4.714 -0.044 0.000
1.763 4.372 0.000
-3.238 -2.164 2.656
Mn W Pt
2 1 1
direct
0.000 0.000 0.000 Mn
0.250 0.750 0.500 Mn
0.750 0.250 0.500 W
0.500 0.500 0.000 Pt
```

***

<2>
Mn2PtW | PBE | optimized geometry

## Properties
- D(E_F): 9.9 states/eV/cell
- Magnetic moment: 0.00 μB/f.u.

POSCAR file:
```
Mn2PtW
1.0
-3.632 -0.483 0.708
0.853 -2.337 2.782
-1.195 5.264 7.293
W Mn Pt
2 4 2
direct
0.500 0.500 0.000 W
0.250 0.750 0.500 W
0.375 0.443 0.750 Mn
0.875 0.807 0.750 Mn
0.193 0.625 0.250 Mn
0.557 0.125 0.250 Mn
0.000 0.000 0.000 Pt
0.750 0.250 0.500 Pt
```

***

<3>
Mn2PtW | PBE | optimized geometry

## Properties
- D(E_F): 10.6 states/eV/cell
- Magnetic moment: 0.00 μB/f.u.

POSCAR file:
```
Mn2PtW
1.0
0.000 2.993 2.993
2.993 0.000 2.993
2.993 2.993 0.000
Pt Mn W
1 2 1
direct
0.500 0.500 0.500 Pt
0.250 0.250 0.250 Mn
0.750 0.750 0.750 Mn
0.000 0.000 0.000 W
```

***

Which of them is most stable, and which least? Most stable: <1>; least stable: <2>.

***

<1>
Mn2PtW | PBE | optimized geometry

## Properties
- D(E_F): 3.9 states/eV/cell
- Magnetic moment: 5.23 μB/f.u.

POSCAR file:
```
Mn2PtW
1.0
-0.298 4.838 0.065
-2.880 3.893 -0.226
-0.783 0.776 4.427
W Mn Pt
1 2 1
direct
0.751 0.751 0.749 W
0.998 0.998 0.005 Mn
0.248 0.248 0.249 Mn
0.502 0.502 0.497 Pt
```

***

<2>
Mn2PtW | PBE | optimized geometry

## Properties
- D(E_F): 3.7 states/eV/cell
- Magnetic moment: 2.26 μB/f.u.

POSCAR file:
```
Mn2PtW
1.0
3.857 0.000 0.000
0.000 3.857 0.000
0.000 0.000 3.630
W Mn Pt
1 2 1
direct
0.000 0.500 0.500 W
0.000 0.000 0.000 Mn
0.500 0.500 0.000 Mn
0.500 0.000 0.500 Pt
```

***

<3>
Mn2PtW | PBE | optimized geometry

## Properties
- D(E_F): 3.0 states/eV/cell
- Magnetic moment: 5.01 μB/f.u.

POSCAR file:
```
Mn2PtW
1.0
3.091 0.000 0.000
0.000 3.215 0.000
0.000 0.000 5.767
W Mn Pt
1 2 1
direct
0.500 0.500 0.750 W
0.000 0.000 0.992 Mn
0.000 0.000 0.508 Mn
0.500 0.500 0.250 Pt
```

***

Which of them is most stable, and which least? Most stable: <2>; least stable: <1>.

***

<1>
Mn2PtW | PBE | optimized geometry

## Properties
- D(E_F): 4.7 states/eV/cell
- Magnetic moment: 0.50 μB/f.u.

POSCAR file:
```
Mn2PtW
1.0
8.904 -0.005 -0.003
8.485 2.699 -0.003
8.485 1.314 2.357
W Mn Pt
1 2 1
direct
0.747 0.747 0.747 W
0.994 0.994 0.994 Mn
0.255 0.255 0.255 Mn
0.504 0.504 0.504 Pt
```

***

<2>
Mn2PtW | PBE | optimized geometry

## Properties
- D(E_F): 3.9 states/eV/cell
- Magnetic moment: 5.58 μB/f.u.

POSCAR file:
```
Mn2PtW
1.0
4.578 -0.019 0.009
3.771 2.596 0.009
0.761 0.235 4.861
Pt Mn W
1 2 1
direct
0.250 0.250 0.250 Pt
0.502 0.502 0.506 Mn
0.998 0.998 0.994 Mn
0.750 0.750 0.750 W
```

***

<3>
Mn2PtW | PBE | optimized geometry

## Properties
- D(E_F): 3.5 states/eV/cell
- Magnetic moment: 5.60 μB/f.u.

POSCAR file:
```
Mn2PtW
1.0
4.264 0.000 0.000
0.000 2.702 0.001
0.000 0.629 5.049
W Pt Mn
1 1 2
direct
0.500 0.750 0.750 W
0.500 0.250 0.250 Pt
0.000 0.520 0.512 Mn
0.000 0.980 0.988 Mn
```

***

<4>
Mn2PtW | PBE | optimized geometry

## Properties
- D(E_F): 4.3 states/eV/cell
- Magnetic moment: 4.81 μB/f.u.

POSCAR file:
```
Mn2PtW
1.0
4.324 0.000 0.000
2.162 3.745 0.000
2.162 1.248 3.531
Pt W Mn
1 1 2
direct
0.500 0.500 0.500 Pt
0.750 0.750 0.750 W
0.000 0.000 0.000 Mn
0.250 0.250 0.250 Mn
```

***

Which of them is most stable, and which least? Most stable: <2>; least stable: <1>.